No. 1
Density functional theory data (PBE) for crystalline MgAlCd2 at its relaxed geometry.

Results
- uncorrected energy (eV for the cell shown) = -7.00
- ΔH_f (0 K) (eV/atom) = 0.04
- symmetry = No. 12
- total moment (μB per formula unit) = 0.0

Lattice parameters (Å, degrees): 5.327 5.327 3.175 89.77 89.77 111.21
Positions (direct):
Cd1 0.500 0.500 0.000
Al1 0.000 0.500 0.500
Cd2 0.000 0.000 0.000
Mg1 0.500 0.000 0.500

No. 2
Density functional theory data (PBE) for crystalline Tl3SbN at its relaxed geometry.

Results
- raw formation energy (eV per formula unit) = 2.37
- uncorrected energy (eV for the cell shown) = -34.36
- polymorph energy (0 for the lowest one) (eV per formula unit) = 0.00
- symmetry = No. 2
- total moment (μB per formula unit) = 0.0

Lattice parameters (Å, degrees): 4.814 6.672 10.386 102.86 95.69 66.64
Positions (direct):
N1 0.725 0.477 0.887
Tl1 0.869 0.810 0.360
Tl2 0.516 0.499 0.096
Sb1 0.322 0.922 0.541
Tl3 0.853 0.801 0.958
Tl4 0.203 0.150 0.190
Tl5 0.499 0.489 0.695
Tl6 0.165 0.150 0.864
N2 0.644 0.823 0.168
Sb2 0.046 0.378 0.513

No. 3
Density functional theory data (PBE) for crystalline Ba2YNp3O12 at its relaxed geometry.

Results
- raw formation energy (eV per formula unit) = -53.01
- uncorrected energy (eV for the cell shown) = -161.64
- symmetry = No. 166
- total moment (μB per formula unit) = 4.0

Lattice parameters (Å, degrees): 7.843 7.843 7.843 62.29 62.29 62.29
Last column: magnetic moment on the atom in μB.
Positions (direct):
Np1 0.500 0.000 0.000  1.56
O1 0.043 0.689 0.689  -0.06
O2 0.924 0.924 0.341  -0.05
Np2 0.000 0.000 0.500  1.56
O3 0.076 0.076 0.659  -0.05
Y1 0.000 0.000 0.000  -0.01
Ba1 0.312 0.312 0.312  0.00
O4 0.689 0.043 0.689  -0.06
O5 0.659 0.076 0.076  -0.05
Ba2 0.688 0.688 0.688  0.00
O6 0.341 0.924 0.924  -0.05
O7 0.689 0.689 0.043  -0.06
O8 0.076 0.659 0.076  -0.05
O9 0.311 0.311 0.957  -0.06
Np3 0.000 0.500 0.000  1.56
O10 0.311 0.957 0.311  -0.06
O11 0.924 0.341 0.924  -0.05
O12 0.957 0.311 0.311  -0.06

No. 4
Density functional theory data (PBE) for crystalline Tl6Bi3Au at its relaxed geometry.

Results
- uncorrected energy (eV for the cell shown) = -58.57
- ΔH_f (0 K) (eV/atom) = -0.02
- symmetry = No. 14
- total moment (μB per formula unit) = 0.0

Lattice parameters (Å, degrees): 6.864 9.534 9.847 90.38 90.00 90.00
Positions (direct):
Tl1 0.759 0.647 0.261
Tl2 0.585 0.820 0.554
Tl3 0.085 0.680 0.946
Tl4 0.871 0.319 0.415
Tl5 0.741 0.147 0.761
Bi1 0.500 0.500 0.000
Au1 0.000 0.000 0.000
Bi2 0.000 0.000 0.500
Au2 0.500 0.500 0.500
Tl6 0.629 0.819 0.915
Bi3 0.238 0.496 0.276
Tl7 0.259 0.853 0.239
Tl8 0.129 0.681 0.585
Tl9 0.241 0.353 0.739
Tl10 0.915 0.320 0.054
Bi4 0.262 0.996 0.776
Bi5 0.738 0.004 0.224
Tl11 0.415 0.180 0.446
Bi6 0.762 0.504 0.724
Tl12 0.371 0.181 0.085

No. 5
Density functional theory data (PBE) for crystalline CsLaAgS2 at its relaxed geometry.

Results
- raw formation energy (eV per formula unit) = -0.08
- uncorrected energy (eV for the cell shown) = -16.97
- polymorph energy (0 for the lowest one) (eV per formula unit) = 5.63
- symmetry = No. 123
- total moment (μB per formula unit) = 1.0

Lattice parameters (Å, degrees): 5.277 5.324 5.277 90.00 90.00 90.00
Last column: magnetic moment on the atom in μB.
Positions (direct):
Ag1 0.000 0.000 0.000  0.00
S1 0.500 0.000 0.000  0.02
S2 0.000 0.000 0.500  0.02
La1 0.500 0.500 0.500  -0.47
Cs1 0.000 0.500 0.000  -0.05

No. 6
Density functional theory data (PBE) for crystalline KBe2Zn at its relaxed geometry.

Results
- uncorrected energy (eV for the cell shown) = -14.59
- ΔH_f (0 K) (eV/atom) = 0.63
- symmetry = No. 141
- total moment (μB per formula unit) = 0.0

Lattice parameters (Å, degrees): 4.590 4.590 8.879 75.02 75.02 90.00
Positions (direct):
K1 0.500 0.500 0.000
Be1 0.375 0.125 0.750
Be2 0.875 0.125 0.750
Be3 0.875 0.625 0.250
Zn1 0.000 0.000 0.000
Be4 0.875 0.125 0.250
K2 0.250 0.750 0.500
Zn2 0.750 0.250 0.500

No. 7
Density functional theory data (PBE) for crystalline Ta2AuSe at its relaxed geometry.

Results
- raw formation energy (eV per formula unit) = 0.18
- uncorrected energy (eV for the cell shown) = -30.28
- symmetry = No. 6
- total moment (μB per formula unit) = 0.0

Lattice parameters (Å, degrees): 4.809 3.085 5.175 76.80 90.00 90.00
Positions (direct):
Au1 0.000 0.540 0.472
Ta1 0.000 0.876 0.947
Se1 0.500 0.879 0.828
Ta2 0.500 0.205 0.253

No. 8
Density functional theory data (PBE) for crystalline RbOsCl4 at its relaxed geometry.

Results
- raw formation energy (eV per formula unit) = -4.91
- uncorrected energy (eV for the cell shown) = -48.98
- symmetry = No. 12
- total moment (μB per formula unit) = 0.0

Lattice parameters (Å, degrees): 5.167 7.261 9.723 111.93 107.88 90.00
Positions (direct):
Os1 0.719 0.546 0.093
Cl1 0.622 0.370 0.232
Cl2 0.378 0.138 0.768
Cl3 0.622 0.862 0.232
Os2 0.281 0.454 0.907
Rb1 0.204 0.202 0.403
Cl4 0.378 0.630 0.768
Cl5 0.156 0.679 0.358
Rb2 0.796 0.798 0.597
Cl6 0.000 0.294 0.000
Cl7 0.844 0.321 0.642
Cl8 0.000 0.706 0.000

No. 9
Density functional theory data (PBE) for crystalline ReTeAs2Br at its relaxed geometry.

Results
- raw formation energy (eV per formula unit) = 2.78
- uncorrected energy (eV for the cell shown) = -23.78
- polymorph energy (0 for the lowest one) (eV per formula unit) = 0.00
- symmetry = No. 123
- total moment (μB per formula unit) = 0.2

Lattice parameters (Å, degrees): 4.838 4.838 5.177 90.00 90.00 90.00
Last column: magnetic moment on the atom in μB.
Positions (direct):
Re1 0.000 0.000 0.000  0.15
As1 0.500 0.000 0.000  -0.01
Te1 0.500 0.500 0.500  0.00
As2 0.000 0.500 0.000  -0.01
Br1 0.000 0.000 0.500  0.01

No. 10
Density functional theory data (PBE) for crystalline Y4NiIr at its relaxed geometry.

Results
- uncorrected energy (eV for the cell shown) = -35.58
- polymorph energy (0 for the lowest one) (eV per formula unit) = 7.40
- ΔH_f (0 K) (eV/atom) = 0.82
- symmetry = No. 216
- total moment (μB per formula unit) = 0.0

Lattice parameters (Å, degrees): 5.899 5.899 5.899 60.00 60.00 60.00
Positions (direct):
Ni1 0.000 0.000 0.000
Ir1 0.750 0.750 0.750
Y1 0.873 0.376 0.376
Y2 0.376 0.376 0.873
Y3 0.376 0.376 0.376
Y4 0.376 0.873 0.376

No. 11
Density functional theory data (PBE) for crystalline Ca3Cu2Si4O14 at its relaxed geometry.

Results
- raw formation energy (eV per formula unit) = -54.83
- uncorrected energy (eV for the cell shown) = -320.28
- symmetry = No. 15
- total moment (μB per formula unit) = 0.0

Lattice parameters (Å, degrees): 9.267 9.267 10.179 60.87 60.87 49.36
Positions (direct):
O1 0.499 0.941 0.188
Si1 0.102 0.543 0.664
Si2 0.898 0.457 0.336
O2 0.688 0.129 0.495
Ca1 0.158 0.232 0.038
O3 0.012 0.110 0.789
O4 0.643 0.686 0.905
O5 0.353 0.551 0.184
Si3 0.471 0.780 0.358
O6 0.890 0.988 0.711
O7 0.753 0.035 0.033
Cu1 0.780 0.220 0.750
Si4 0.220 0.529 0.142
O8 0.686 0.643 0.405
O9 0.106 0.533 0.825
O10 0.533 0.106 0.325
Ca2 0.346 0.654 0.750
O11 0.941 0.499 0.688
O12 0.110 0.012 0.289
Cu2 0.220 0.780 0.250
O13 0.871 0.312 0.005
O14 0.501 0.059 0.812
O15 0.314 0.357 0.595
O16 0.129 0.688 0.995
Ca3 0.232 0.158 0.538
Cu3 0.000 0.000 0.000
Si5 0.543 0.102 0.164
Si6 0.780 0.471 0.858
O17 0.988 0.890 0.211
O18 0.965 0.247 0.467
Cu4 0.000 0.000 0.500
Ca4 0.842 0.768 0.962
O19 0.449 0.647 0.316
O20 0.647 0.449 0.816
O21 0.551 0.353 0.684
O22 0.357 0.314 0.095
O23 0.894 0.467 0.175
O24 0.035 0.753 0.533
Ca5 0.768 0.842 0.462
Si7 0.529 0.220 0.642
Ca6 0.654 0.346 0.250
O25 0.059 0.501 0.312
Si8 0.457 0.898 0.836
O26 0.247 0.965 0.967
O27 0.467 0.894 0.675
O28 0.312 0.871 0.505

No. 12
Density functional theory data (PBE) for crystalline LiInAgAs at its relaxed geometry.

Results
- uncorrected energy (eV for the cell shown) = -12.71
- ΔH_f (0 K) (eV/atom) = -0.14
- symmetry = No. 216
- total moment (μB per formula unit) = 0.0

Lattice parameters (Å, degrees): 4.804 4.804 4.804 60.00 60.00 60.00
Positions (direct):
Li1 0.750 0.750 0.750
As1 0.500 0.500 0.500
In1 0.000 0.000 0.000
Ag1 0.250 0.250 0.250

No. 13
Density functional theory data (PBE) for crystalline Li4Tl3In at its relaxed geometry.

Results
- uncorrected energy (eV for the cell shown) = -19.33
- ΔH_f (0 K) (eV/atom) = -0.23
- symmetry = No. 12
- total moment (μB per formula unit) = 0.0

Lattice parameters (Å, degrees): 4.785 4.785 7.974 107.24 107.46 90.00
Positions (direct):
Li1 0.124 0.124 0.248
Li2 0.876 0.876 0.752
Tl1 0.748 0.248 0.495
Tl2 0.000 0.500 0.000
Li3 0.624 0.624 0.248
Tl3 0.252 0.752 0.505
Li4 0.376 0.376 0.752
In1 0.500 0.000 0.000

No. 14
Density functional theory data (PBE) for crystalline FeTe2Pb at its relaxed geometry.

Results
- raw formation energy (eV per formula unit) = 0.20
- uncorrected energy (eV for the cell shown) = -36.51
- symmetry = No. 122
- total moment (μB per formula unit) = 3.8

Lattice parameters (Å, degrees): 6.704 6.704 7.983 65.17 65.17 90.00
Last column: magnetic moment on the atom in μB.
Positions (direct):
Fe1 0.500 0.500 0.000  3.08
Pb1 0.750 0.250 0.500  0.06
Te1 0.375 0.443 0.750  0.10
Fe2 0.250 0.750 0.500  3.09
Te2 0.875 0.807 0.750  0.10
Te3 0.557 0.125 0.250  0.10
Te4 0.193 0.625 0.250  0.10
Pb2 0.000 0.000 0.000  0.06

No. 15
Density functional theory data (PBE) for crystalline LiYPtO4 at its relaxed geometry.

Results
- raw formation energy (eV per formula unit) = -13.22
- uncorrected energy (eV for the cell shown) = -94.95
- symmetry = No. 74
- total moment (μB per formula unit) = 0.0

Lattice parameters (Å, degrees): 6.334 6.427 6.922 122.58 90.00 119.53
Positions (direct):
O1 0.283 0.027 0.264
Pt1 0.000 0.500 0.500
Li1 0.921 0.842 0.171
O2 0.240 0.480 0.684
O3 0.256 0.973 0.736
Pt2 0.500 0.500 0.500
Y1 0.500 0.000 0.000
Y2 0.500 0.000 0.500
O4 0.760 0.520 0.316
Li2 0.079 0.158 0.829
O5 0.744 0.027 0.264
O6 0.240 0.480 0.296
O7 0.760 0.520 0.704
O8 0.717 0.973 0.736

No. 16
Density functional theory data (PBE) for crystalline BaYCd2Rh at its relaxed geometry.

Results
- uncorrected energy (eV for the cell shown) = -19.11
- ΔH_f (0 K) (eV/atom) = -0.31
- symmetry = No. 123
- total moment (μB per formula unit) = 0.0

Lattice parameters (Å, degrees): 5.430 5.430 5.101 90.00 90.00 90.00
Positions (direct):
Ba1 0.500 0.500 0.500
Cd1 0.000 0.500 0.000
Cd2 0.500 0.000 0.000
Rh1 0.000 0.000 0.000
Y1 0.000 0.000 0.500

No. 17
Density functional theory data (PBE) for crystalline BeNb2CdCo at its relaxed geometry.

Results
- uncorrected energy (eV for the cell shown) = -20.90
- ΔH_f (0 K) (eV/atom) = 2.20
- symmetry = No. 123
- total moment (μB per formula unit) = 0.0

Lattice parameters (Å, degrees): 4.976 4.518 4.976 90.00 90.00 90.00
Positions (direct):
Nb1 0.000 0.000 0.500
Cd1 0.000 0.000 0.000
Be1 0.500 0.500 0.500
Nb2 0.500 0.000 0.000
Co1 0.000 0.500 0.000

No. 18
Density functional theory data (PBE) for crystalline Sr3Sn5Pt6 at its relaxed geometry.

Results
- uncorrected energy (eV for the cell shown) = -143.53
- ΔH_f (0 K) (eV/atom) = -0.75
- symmetry = No. 59
- total moment (μB per formula unit) = 0.0

Lattice parameters (Å, degrees): 4.570 10.030 13.755 90.00 90.00 90.00
Positions (direct):
Sn1 0.000 0.904 0.674
Sr1 0.500 0.749 0.811
Pt1 0.000 0.473 0.500
Pt2 0.000 0.632 0.670
Pt3 0.000 0.060 0.500
Pt4 0.500 0.368 0.830
Sr2 0.500 0.749 0.189
Sn2 0.500 0.485 0.640
Sr3 0.000 0.251 0.311
Pt5 0.500 0.025 0.626
Pt6 0.000 0.632 0.330
Pt7 0.000 0.975 0.126
Sr4 0.000 0.251 0.689
Pt8 0.000 0.975 0.874
Pt9 0.500 0.527 0.000
Sn3 0.500 0.096 0.826
Sn4 0.000 0.761 0.000
Sn5 0.000 0.904 0.326
Sn6 0.000 0.515 0.140
Pt10 0.500 0.025 0.374
Sn7 0.000 0.515 0.860
Pt11 0.500 0.940 0.000
Sr5 0.000 0.241 0.000
Sn8 0.500 0.239 0.500
Pt12 0.500 0.368 0.170
Sn9 0.500 0.485 0.360
Sr6 0.500 0.759 0.500
Sn10 0.500 0.096 0.174

No. 19
Density functional theory data (PBE) for crystalline Tl2BiPd2 at its relaxed geometry.

Results
- uncorrected energy (eV for the cell shown) = -39.09
- polymorph energy (0 for the lowest one) (eV per formula unit) = 0.00
- ΔH_f (0 K) (eV/atom) = -0.11
- symmetry = No. 11
- total moment (μB per formula unit) = 0.0

Lattice parameters (Å, degrees): 4.379 5.402 10.830 107.05 90.00 90.00
Positions (direct):
Pd1 0.250 0.327 0.978
Bi1 0.750 0.239 0.793
Pd2 0.750 0.650 0.354
Bi2 0.250 0.761 0.207
Tl1 0.750 0.210 0.135
Tl2 0.250 0.790 0.865
Tl3 0.250 0.782 0.545
Pd3 0.750 0.673 0.022
Tl4 0.750 0.218 0.455
Pd4 0.250 0.350 0.646

No. 20
Density functional theory data (PBE) for crystalline CdGe3Br8 at its relaxed geometry.

Results
- raw formation energy (eV per formula unit) = -7.55
- uncorrected energy (eV for the cell shown) = -35.70
- symmetry = No. 12
- total moment (μB per formula unit) = 0.0

Lattice parameters (Å, degrees): 8.148 8.143 8.412 119.40 90.00 120.02
Positions (direct):
Br1 0.243 0.487 0.230
Ge1 0.500 0.000 0.000
Ge2 0.500 0.500 0.000
Br2 0.747 0.990 0.230
Br3 0.757 0.513 0.770
Br4 0.253 0.010 0.770
Cd1 0.000 0.000 0.000
Br5 0.255 0.510 0.768
Br6 0.243 0.990 0.230
Br7 0.745 0.490 0.232
Ge3 0.000 0.500 0.000
Br8 0.757 0.010 0.770

No. 21
Density functional theory data (PBE) for crystalline La2DyTe2O2 at its relaxed geometry.

Results
- raw formation energy (eV per formula unit) = -16.13
- uncorrected energy (eV for the cell shown) = -46.78
- symmetry = No. 139
- total moment (μB per formula unit) = 0.0

Lattice parameters (Å, degrees): 4.443 4.443 8.966 104.34 104.34 90.00
Positions (direct):
La1 0.612 0.612 0.223
La2 0.388 0.388 0.777
Dy1 0.000 0.000 0.000
Te1 0.818 0.818 0.636
O1 0.500 0.000 0.000
O2 0.000 0.500 0.000
Te2 0.182 0.182 0.364

no.,density (Mg/m³)
1,5.46
2,8.33
3,5.86
4,10.57
5,4.97
6,2.34
7,14.17
8,4.34
9,7.45
10,6.94
11,3.46
12,6.45
13,7.58
14,5.96
15,6.12
16,6.12
17,5.44
18,10.68
19,11.26
20,4.04
21,7.29